[1]
12
Lattice="5.4433 0.0000 0.0000 -2.7216 4.7140 0.0000 0.0000 0.0000 8.4046" Properties=species:S:1:pos:R:3 comment="Ho2AlRu3, relaxed, DFT PBE" dos_at_fermi_per_ev_cell=14.94 m_tot_mub_per_atom=0.2720 final_energy_ev_per_atom=-7.245 pbc="T T T"
Ho 0.0000 3.1427 0.5540
Ho 0.0000 3.1427 3.6483
Ho 2.7216 1.5713 4.7563
Ho 2.7216 1.5713 7.8507
Al 0.0000 0.0000 0.0000
Al 0.0000 0.0000 4.2023
Ru 0.0000 1.6138 6.3035
Ru -1.3241 3.9071 6.3035
Ru 1.3976 0.8069 2.1012
Ru 1.3241 3.9071 6.3035
Ru 4.0457 0.8069 2.1012
Ru 2.7216 3.1002 2.1012

***

[2]
4
Lattice="3.2205 0.0000 0.0000 0.0000 3.2205 0.0000 0.0000 0.0000 6.3906" Properties=species:S:1:pos:R:3 comment="HoAlRu2, relaxed, DFT PBE" dos_at_fermi_per_ev_cell=5.16 m_tot_mub_per_atom=0.0001 final_energy_ev_per_atom=-7.127 pbc="T T T"
Ho 0.0000 0.0000 0.0000
Al 0.0000 0.0000 3.1953
Ru 1.6103 1.6103 1.8141
Ru 1.6103 1.6103 4.5764

***

[3]
32
Lattice="7.5495 0.0000 0.0000 0.0000 15.2765 0.0000 0.0000 0.0000 5.7716" Properties=species:S:1:pos:R:3 comment="Ho3Al3Ru2, relaxed, DFT PBE" dos_at_fermi_per_ev_cell=21.97 m_tot_mub_per_atom=0.0000 final_energy_ev_per_atom=-5.985 pbc="T T T"
Ho 0.2638 1.6543 0.5865
Ho 0.2638 5.9839 0.5865
Ho 1.2957 3.8191 3.6421
Ho 2.4791 11.4574 0.7563
Ho 3.5109 9.2926 3.4723
Ho 3.5109 13.6222 3.4723
Ho 4.0386 1.6543 2.2994
Ho 4.0386 5.9839 2.2994
Ho 5.0705 3.8191 5.0154
Ho 6.2538 11.4574 2.1296
Ho 7.2857 9.2926 5.1852
Ho 7.2857 13.6222 5.1852
Al 1.2075 0.5158 3.4066
Al 1.2075 7.1225 3.4066
Al 1.3050 11.4574 3.5782
Al 2.4698 3.8191 0.6924
Al 2.5673 8.1540 0.5208
Al 2.5673 14.7608 0.5208
Al 4.9822 0.5158 5.2508
Al 4.9822 7.1225 5.2508
Al 5.0798 11.4574 5.0792
Al 6.2445 3.8191 2.1934
Al 6.3421 8.1540 2.3650
Al 6.3421 14.7608 2.3650
Ru 1.0235 9.2921 2.1133
Ru 1.0235 13.6227 2.1133
Ru 2.7513 1.6539 4.9991
Ru 2.7513 5.9844 4.9991
Ru 4.7982 9.2921 0.7725
Ru 4.7982 13.6227 0.7725
Ru 6.5261 1.6539 3.6584
Ru 6.5261 5.9844 3.6584

***

[4]
6
Lattice="2.7367 1.5800 4.4093 -2.7367 1.5800 4.4093 0.0000 -3.1601 4.4093" Properties=species:S:1:pos:R:3 comment="Ho2Al3Ru, relaxed, DFT PBE" dos_at_fermi_per_ev_cell=4.57 m_tot_mub_per_atom=0.0000 final_energy_ev_per_atom=-5.520 pbc="T T T"
Ho 0.0000 0.0000 1.6786
Ho 0.0000 0.0000 11.5492
Al -1.3684 -0.7900 4.4093
Al -1.3683 0.7900 8.8185
Al 0.0000 1.5800 4.4093
Ru 0.0000 0.0000 6.6139

***

[5]
12
Lattice="-3.3117 3.3117 5.4714 3.3117 -3.3117 5.4714 3.3117 3.3117 -5.4714" Properties=species:S:1:pos:R:3 comment="HoAl4Ru, relaxed, DFT PBE" dos_at_fermi_per_ev_cell=3.66 m_tot_mub_per_atom=0.0000 final_energy_ev_per_atom=-5.080 pbc="T T T"
Ho 0.0000 0.0000 0.0000
Ho 0.0000 0.0000 5.4714
Al 2.3232 -0.9885 1.8164
Al 4.3002 -0.9885 3.6550
Al 4.3002 0.9885 1.8164
Al 2.3232 0.9885 3.6550
Al 0.9885 2.3232 1.8164
Al -0.9885 2.3232 3.6550
Al -0.9885 4.3002 1.8164
Al 0.9885 4.3002 3.6550
Ru 0.0000 0.0000 2.7357
Ru 0.0000 0.0000 8.2071

***

[6]
4
Lattice="4.4655 0.0000 0.0000 0.0000 4.4655 0.0000 0.0000 0.0000 3.3082" Properties=species:S:1:pos:R:3 comment="HoAlRu2, relaxed, DFT PBE" dos_at_fermi_per_ev_cell=5.98 m_tot_mub_per_atom=0.0001 final_energy_ev_per_atom=-7.109 pbc="T T T"
Ho 0.0000 0.0000 0.0000
Al 2.2328 2.2328 0.0000
Ru 0.0000 2.2328 1.6541
Ru 2.2328 0.0000 1.6541